# 1
A plane-wave DFT calculation with PBE was carried out for an optimized crystal structure of YCuPb3.

Energy relative to the lowest polymorph listed for this composition ... 0.0000 eV per atom
Crystal system ... cubic
Total magnetic moment ... 0.00 Bohr magnetons per cell
Density of states at the Fermi level ... 4.7 states/eV/cell
Space-group type ... Pm-3m (221)

a b c (Å): 5.266 5.266 5.266
angles (deg): 90.00 90.00 90.00
Sites, in units of the cell vectors:
Y 0.000 0.000 0.000
Cu 0.500 0.500 0.500
Pb 0.000 0.500 0.500
Pb 0.500 0.000 0.500
Pb 0.500 0.500 0.000

# 2
A plane-wave DFT calculation with PBE was carried out for an optimized crystal structure of YCu2Pb.

Crystal system ... tetragonal
Total magnetic moment ... 0.00 Bohr magnetons per cell
Density of states at the Fermi level ... 1.6 states/eV/cell
Space-group type ... I-4m2 (119)

a b c (Å): 4.843 4.843 4.843
angles (deg): 119.68 119.68 90.56
Sites, in units of the cell vectors:
Y 0.000 0.000 0.000
Cu 0.500 0.500 0.000
Cu 0.750 0.250 0.500
Pb 0.250 0.750 0.500

# 3
A plane-wave DFT calculation with PBE was carried out for an optimized crystal structure of ZnCuPb2.

Energy relative to the lowest polymorph listed for this composition ... 0.1352 eV per atom
Crystal system ... trigonal
Total magnetic moment ... 0.00 Bohr magnetons per cell
Density of states at the Fermi level ... 1.0 states/eV/cell
Space-group type ... R-3m (166)

a b c (Å): 7.956 7.956 7.956
angles (deg): 27.58 27.58 27.58
Sites, in units of the cell vectors:
Zn 0.000 0.000 0.000
Cu 0.500 0.500 0.500
Pb 0.243 0.243 0.243
Pb 0.757 0.757 0.757

# 4
A plane-wave DFT calculation with PBE was carried out for an optimized crystal structure of ZnCuPb2.

Energy relative to the lowest polymorph listed for this composition ... 0.0000 eV per atom
Crystal system ... trigonal
Total magnetic moment ... 0.00 Bohr magnetons per cell
Density of states at the Fermi level ... 1.7 states/eV/cell
Space-group type ... R3m (160)

a b c (Å): 6.837 6.837 6.837
angles (deg): 36.25 36.25 36.25
Sites, in units of the cell vectors:
Zn 0.000 0.000 0.000
Cu 0.668 0.668 0.668
Pb 0.242 0.242 0.242
Pb 0.425 0.425 0.425

# 5
A plane-wave DFT calculation with PBE was carried out for an optimized crystal structure of ZnCu2Pb.

Energy relative to the lowest polymorph listed for this composition ... 0.0379 eV per atom
Crystal system ... monoclinic
Total magnetic moment ... 0.00 Bohr magnetons per cell
Density of states at the Fermi level ... 1.1 states/eV/cell
Space-group type ... Cm (8)

a b c (Å): 4.669 4.669 4.864
angles (deg): 101.54 101.54 43.10
Sites, in units of the cell vectors:
Zn 0.000 0.000 0.000
Cu 0.265 0.265 0.836
Cu 0.534 0.534 0.643
Pb 0.774 0.774 0.351

# 6
A plane-wave DFT calculation with PBE was carried out for an optimized crystal structure of ZnCuPb3.

Energy relative to the lowest polymorph listed for this composition ... 0.2646 eV per atom
Crystal system ... cubic
Total magnetic moment ... 0.00 Bohr magnetons per cell
Density of states at the Fermi level ... 3.0 states/eV/cell
Space-group type ... Pm-3m (221)

a b c (Å): 5.369 5.369 5.369
angles (deg): 90.00 90.00 90.00
Sites, in units of the cell vectors:
Zn 0.000 0.000 0.000
Cu 0.500 0.500 0.500
Pb 0.000 0.000 0.500
Pb 0.000 0.500 0.000
Pb 0.500 0.000 0.000

# 7
A plane-wave DFT calculation with PBE was carried out for an optimized crystal structure of ZnCuPb2.

Energy relative to the lowest polymorph listed for this composition ... 0.1892 eV per atom
Crystal system ... tetragonal
Total magnetic moment ... 0.00 Bohr magnetons per cell
Density of states at the Fermi level ... 1.3 states/eV/cell
Space-group type ... I-4m2 (119)

a b c (Å): 6.037 6.037 6.037
angles (deg): 139.36 139.36 58.83
Sites, in units of the cell vectors:
Zn 0.000 0.000 0.000
Cu 0.250 0.750 0.500
Pb 0.500 0.500 0.000
Pb 0.750 0.250 0.500

# 8
A plane-wave DFT calculation with PBE was carried out for an optimized crystal structure of ZnCu2Pb.

Energy relative to the lowest polymorph listed for this composition ... 0.0000 eV per atom
Crystal system ... monoclinic
Total magnetic moment ... 0.00 Bohr magnetons per cell
Density of states at the Fermi level ... 2.0 states/eV/cell
Space-group type ... C2/m (12)

a b c (Å): 4.269 4.269 5.181
angles (deg): 111.75 111.75 59.55
Sites, in units of the cell vectors:
Zn 0.000 0.000 0.000
Cu 0.300 0.300 0.896
Cu 0.700 0.700 0.104
Pb 0.500 0.500 0.500

# 9
A plane-wave DFT calculation with PBE was carried out for an optimized crystal structure of Zn3CuPb.

Energy relative to the lowest polymorph listed for this composition ... 0.0000 eV per atom
Crystal system ... cubic
Total magnetic moment ... 0.00 Bohr magnetons per cell
Density of states at the Fermi level ... 1.4 states/eV/cell
Space-group type ... Pm-3m (221)

a b c (Å): 4.685 4.685 4.685
angles (deg): 90.00 90.00 90.00
Sites, in units of the cell vectors:
Zn 0.000 0.000 0.500
Zn 0.000 0.500 0.000
Zn 0.500 0.000 0.000
Cu 0.000 0.000 0.000
Pb 0.500 0.500 0.500

# 10
A plane-wave DFT calculation with PBE was carried out for an optimized crystal structure of Zn4CuPb.

Crystal system ... cubic
Total magnetic moment ... 0.00 Bohr magnetons per cell
Density of states at the Fermi level ... 1.6 states/eV/cell
Space-group type ... F-43m (216)

a b c (Å): 5.306 5.306 5.306
angles (deg): 60.00 60.00 60.00
Sites, in units of the cell vectors:
Zn 0.124 0.124 0.124
Zn 0.124 0.124 0.629
Zn 0.124 0.629 0.124
Zn 0.629 0.124 0.124
Cu 0.750 0.750 0.750
Pb 0.500 0.500 0.500

# 11
A plane-wave DFT calculation with PBE was carried out for an optimized crystal structure of ZnCu2Pb.

Energy relative to the lowest polymorph listed for this composition ... 0.0141 eV per atom
Crystal system ... tetragonal
Total magnetic moment ... 0.00 Bohr magnetons per cell
Density of states at the Fermi level ... 0.9 states/eV/cell
Space-group type ... P4mm (99)

a b c (Å): 3.206 3.206 6.868
angles (deg): 90.00 90.00 90.00
Sites, in units of the cell vectors:
Zn 0.000 0.000 0.000
Cu 0.000 0.000 0.365
Cu 0.500 0.500 0.188
Pb 0.500 0.500 0.653

# 12
A plane-wave DFT calculation with PBE was carried out for an optimized crystal structure of ZnCu2Pb.

Energy relative to the lowest polymorph listed for this composition ... 0.0093 eV per atom
Crystal system ... monoclinic
Total magnetic moment ... 0.00 Bohr magnetons per cell
Density of states at the Fermi level ... 1.6 states/eV/cell
Space-group type ... P2/m (10)

a b c (Å): 3.240 3.236 6.636
angles (deg): 90.00 94.39 90.00
Sites, in units of the cell vectors:
Zn 0.000 0.000 0.000
Cu 0.477 0.500 0.812
Cu 0.523 0.500 0.188
Pb 0.000 0.000 0.500

# 13
A plane-wave DFT calculation with PBE was carried out for an optimized crystal structure of Zn2CuPb.

Energy relative to the lowest polymorph listed for this composition ... 0.1070 eV per atom
Crystal system ... orthorhombic
Total magnetic moment ... 0.00 Bohr magnetons per cell
Density of states at the Fermi level ... 1.2 states/eV/cell
Space-group type ... Immm (71)

a b c (Å): 5.684 5.684 5.684
angles (deg): 148.80 125.38 64.25
Sites, in units of the cell vectors:
Zn 0.213 0.213 0.000
Zn 0.787 0.787 0.000
Cu 0.000 0.500 0.500
Pb 0.500 0.000 0.500

# 14
A plane-wave DFT calculation with PBE was carried out for an optimized crystal structure of Zn2CuPb.

Energy relative to the lowest polymorph listed for this composition ... 0.0422 eV per atom
Crystal system ... tetragonal
Total magnetic moment ... 0.00 Bohr magnetons per cell
Density of states at the Fermi level ... 1.7 states/eV/cell
Space-group type ... P4/mmm (123)

a b c (Å): 3.165 3.165 7.544
angles (deg): 90.00 90.00 90.00
Sites, in units of the cell vectors:
Zn 0.000 0.000 0.179
Zn 0.000 0.000 0.821
Cu 0.500 0.500 0.000
Pb 0.500 0.500 0.500

# 15
A plane-wave DFT calculation with PBE was carried out for an optimized crystal structure of ZnCu4Pb.

Crystal system ... cubic
Total magnetic moment ... 0.00 Bohr magnetons per cell
Density of states at the Fermi level ... 2.4 states/eV/cell
Space-group type ... F-43m (216)

a b c (Å): 5.048 5.048 5.048
angles (deg): 60.00 60.00 60.00
Sites, in units of the cell vectors:
Zn 0.000 0.000 0.000
Cu 0.374 0.374 0.374
Cu 0.374 0.374 0.878
Cu 0.374 0.878 0.374
Cu 0.878 0.374 0.374
Pb 0.750 0.750 0.750

| no. | calculated formation energy (meV per atom) |
| --- | --- |
| 1 | 138 |
| 2 | -20 |
| 3 | 231 |
| 4 | 96 |
| 5 | 190 |
| 6 | 629 |
| 7 | 285 |
| 8 | 152 |
| 9 | 214 |
| 10 | 167 |
| 11 | 166 |
| 12 | 162 |
| 13 | 204 |
| 14 | 139 |
| 15 | 114 |